Density functional theory data (GGA-PBEsol) for crystalline SrBeFe2 at its relaxed geometry.

Total energy = -19.72 eV for the cell shown
Symmetry = Pmmm (47)
Calculated formation energy = 1.0117 eV per atom

Cell: 3.1069 4.3049 4.5511 Å, 90.00 90.00 90.00°
Closest atoms and distances in Å follow each position.
Positions (direct):
Sr 0.0000 0.0000 0.0000  4 Fe 2.65, 4 Be 2.76
Be 0.5000 0.0000 0.5000  4 Fe 2.65, 4 Sr 2.76
Fe 0.0000 0.5000 0.5000  4 Be 2.65, 4 Fe 2.76
Fe 0.5000 0.5000 0.0000  4 Sr 2.65, 4 Fe 2.76